No. 1
# Tl2HgRu (GGA-PBE, relaxed)
# Distance to the lowest polymorph of the same formula, meV/atom: 234.2
# ΔE_f, eV per atom: 0.57
# Raw total energy, eV per atom: -3.006
# D(E_F), states/eV/f.u.: 3.807
data_Tl2HgRu
_chemical_formula_sum 'Tl2 Hg1 Ru1'
_symmetry_space_group_name_H-M 'P 4/m m m'
_symmetry_Int_Tables_number 123
_symmetry_space_group_name_Hall '-P 4 2'
_cell_length_a 5.1444
_cell_length_b 5.1444
_cell_length_c 3.3009
_cell_angle_alpha 90.00
_cell_angle_beta 90.00
_cell_angle_gamma 90.00
loop_
_atom_site_label
_atom_site_type_symbol
_atom_site_fract_x
_atom_site_fract_y
_atom_site_fract_z
Tl1 Tl 0.0000 0.5000 0.0000
Hg1 Hg 0.0000 0.0000 0.5000
Ru1 Ru 0.5000 0.5000 0.5000



No. 2
# TlHgRu2 (GGA-PBE, relaxed)
# Distance to the lowest polymorph of the same formula, meV/atom: 149.2
# ΔE_f, eV per atom: 0.52
# Raw total energy, eV per atom: -4.780
# D(E_F), states/eV/f.u.: 2.942
data_TlHgRu2
_chemical_formula_sum 'Tl3 Hg3 Ru6'
_symmetry_space_group_name_H-M 'R 3 m'
_symmetry_Int_Tables_number 160
_symmetry_space_group_name_Hall 'R 3 -2"'
_cell_length_a 2.9792
_cell_length_b 2.9792
_cell_length_c 29.3918
_cell_angle_alpha 90.00
_cell_angle_beta 90.00
_cell_angle_gamma 120.00
loop_
_atom_site_label
_atom_site_type_symbol
_atom_site_fract_x
_atom_site_fract_y
_atom_site_fract_z
Tl1 Tl 0.0000 0.0000 0.0000
Hg1 Hg 0.0000 0.0000 0.7681
Ru1 Ru 0.0000 0.0000 0.2489
Ru2 Ru 0.0000 0.0000 0.5169



No. 3
# Tl2HgRu (GGA-PBE, relaxed)
# Distance to the lowest polymorph of the same formula, meV/atom: 250.3
# ΔE_f, eV per atom: 0.59
# Raw total energy, eV per atom: -2.990
# D(E_F), states/eV/f.u.: 2.961
data_Tl2HgRu
_chemical_formula_sum 'Tl2 Hg1 Ru1'
_symmetry_space_group_name_H-M 'P 1 2/m 1'
_symmetry_Int_Tables_number 10
_cell_length_a 4.9986
_cell_length_b 3.4760
_cell_length_c 5.4035
_cell_angle_alpha 90.00
_cell_angle_beta 111.42
_cell_angle_gamma 90.00
loop_
_symmetry_equiv_pos_as_xyz
'x,y,z'
'-x,-y,-z'
'-x,y,-z'
'x,-y,z'
loop_
_atom_site_label
_atom_site_type_symbol
_atom_site_fract_x
_atom_site_fract_y
_atom_site_fract_z
Tl1 Tl 0.0000 0.0000 0.0000
Tl2 Tl 0.0000 0.5000 0.5000
Hg1 Hg 0.5000 0.0000 0.5000
Ru1 Ru 0.5000 0.5000 0.0000



No. 4
# Tl2HgRu (GGA-PBE, relaxed)
# Distance to the lowest polymorph of the same formula, meV/atom: 222.1
# ΔE_f, eV per atom: 0.56
# Raw total energy, eV per atom: -3.018
# D(E_F), states/eV/f.u.: 2.414
data_Tl2HgRu
_chemical_formula_sum 'Tl4 Hg2 Ru2'
_symmetry_space_group_name_H-M 'I -4 m 2'
_symmetry_Int_Tables_number 119
_symmetry_space_group_name_Hall 'I -4 -2'
_cell_length_a 4.2235
_cell_length_b 4.2235
_cell_length_c 9.5343
_cell_angle_alpha 90.00
_cell_angle_beta 90.00
_cell_angle_gamma 90.00
loop_
_atom_site_label
_atom_site_type_symbol
_atom_site_fract_x
_atom_site_fract_y
_atom_site_fract_z
Tl1 Tl 0.0000 0.0000 0.0000
Tl2 Tl 0.0000 0.5000 0.2500
Hg1 Hg 0.0000 0.5000 0.7500
Ru1 Ru 0.0000 0.0000 0.5000



No. 5
# Tl2HgRu (GGA-PBE, relaxed)
# Distance to the lowest polymorph of the same formula, meV/atom: 81.2
# ΔE_f, eV per atom: 0.42
# Raw total energy, eV per atom: -3.159
# D(E_F), states/eV/f.u.: 3.567
data_Tl2HgRu
_chemical_formula_sum 'Tl2 Hg1 Ru1'
_symmetry_space_group_name_H-M 'P 4 m m'
_symmetry_Int_Tables_number 99
_cell_length_a 3.3414
_cell_length_b 3.3414
_cell_length_c 8.3295
_cell_angle_alpha 90.00
_cell_angle_beta 90.00
_cell_angle_gamma 90.00
loop_
_symmetry_equiv_pos_as_xyz
'x,y,z'
'-y,x,z'
'-x,-y,z'
'y,-x,z'
'-x,y,z'
'y,x,z'
'x,-y,z'
'-y,-x,z'
loop_
_atom_site_label
_atom_site_type_symbol
_atom_site_fract_x
_atom_site_fract_y
_atom_site_fract_z
Tl1 Tl 0.0000 0.0000 0.0000
Tl2 Tl 0.5000 0.5000 0.3219
Hg1 Hg 0.0000 0.0000 0.6117
Ru1 Ru 0.5000 0.5000 0.8070



No. 6
# TlHgRu2 (GGA-PBE, relaxed)
# Distance to the lowest polymorph of the same formula, meV/atom: 294.6
# ΔE_f, eV per atom: 0.67
# Raw total energy, eV per atom: -4.635
# D(E_F), states/eV/f.u.: 5.314
data_TlHgRu2
_chemical_formula_sum 'Tl1 Hg1 Ru2'
_symmetry_space_group_name_H-M 'P 4/m m m'
_symmetry_Int_Tables_number 123
_symmetry_space_group_name_Hall '-P 4 2'
_cell_length_a 4.6265
_cell_length_b 4.6265
_cell_length_c 3.2943
_cell_angle_alpha 90.00
_cell_angle_beta 90.00
_cell_angle_gamma 90.00
loop_
_atom_site_label
_atom_site_type_symbol
_atom_site_fract_x
_atom_site_fract_y
_atom_site_fract_z
Tl1 Tl 0.0000 0.0000 0.0000
Hg1 Hg 0.5000 0.5000 0.0000
Ru1 Ru 0.0000 0.5000 0.5000



No. 7
# TlHgRu4 (GGA-PBE, relaxed)
# ΔE_f, eV per atom: 0.73
# Raw total energy, eV per atom: -5.904
# D(E_F), states/eV/f.u.: 6.765
data_TlHgRu4
_chemical_formula_sum 'Tl4 Hg4 Ru16'
_symmetry_space_group_name_H-M 'F -4 3 m'
_symmetry_Int_Tables_number 216
_symmetry_space_group_name_Hall 'F -4 2 3'
_cell_length_a 7.4494
_cell_length_b 7.4494
_cell_length_c 7.4494
_cell_angle_alpha 90.00
_cell_angle_beta 90.00
_cell_angle_gamma 90.00
loop_
_atom_site_label
_atom_site_type_symbol
_atom_site_fract_x
_atom_site_fract_y
_atom_site_fract_z
Tl1 Tl 0.0000 0.0000 0.0000
Hg1 Hg 0.2500 0.2500 0.7500
Ru1 Ru 0.1249 0.1249 0.3751



No. 8
# TlHgRu2 (GGA-PBE, relaxed)
# Distance to the lowest polymorph of the same formula, meV/atom: 297.0
# ΔE_f, eV per atom: 0.67
# Raw total energy, eV per atom: -4.633
# D(E_F), states/eV/f.u.: 6.412
data_TlHgRu2
_chemical_formula_sum 'Tl4 Hg4 Ru8'
_symmetry_space_group_name_H-M 'F m -3 m'
_symmetry_Int_Tables_number 225
_symmetry_space_group_name_Hall '-F 4 2 3'
_cell_length_a 6.5615
_cell_length_b 6.5615
_cell_length_c 6.5615
_cell_angle_alpha 90.00
_cell_angle_beta 90.00
_cell_angle_gamma 90.00
loop_
_atom_site_label
_atom_site_type_symbol
_atom_site_fract_x
_atom_site_fract_y
_atom_site_fract_z
Tl1 Tl 0.0000 0.0000 0.0000
Hg1 Hg 0.0000 0.0000 0.5000
Ru1 Ru 0.2500 0.2500 0.2500



No. 9
# Tl2HgRu (GGA-PBE, relaxed)
# Distance to the lowest polymorph of the same formula, meV/atom: 16.7
# ΔE_f, eV per atom: 0.35
# Raw total energy, eV per atom: -3.223
# D(E_F), states/eV/f.u.: 3.735
data_Tl2HgRu
_chemical_formula_sum 'Tl4 Hg2 Ru2'
_symmetry_space_group_name_H-M 'I m m m'
_symmetry_Int_Tables_number 71
_symmetry_space_group_name_Hall '-I 2 2'
_cell_length_a 3.0688
_cell_length_b 4.7038
_cell_length_c 13.9333
_cell_angle_alpha 90.00
_cell_angle_beta 90.00
_cell_angle_gamma 90.00
loop_
_atom_site_label
_atom_site_type_symbol
_atom_site_fract_x
_atom_site_fract_y
_atom_site_fract_z
Tl1 Tl 0.0000 0.0000 0.1740
Hg1 Hg 0.0000 0.5000 0.0000
Ru1 Ru 0.0000 0.5000 0.5000



No. 10
# Tl2HgRu (GGA-PBE, relaxed)
# Distance to the lowest polymorph of the same formula, meV/atom: 240.7
# ΔE_f, eV per atom: 0.58
# Raw total energy, eV per atom: -2.999
# D(E_F), states/eV/f.u.: 1.803
data_Tl2HgRu
_chemical_formula_sum 'Tl4 Hg2 Ru2'
_symmetry_space_group_name_H-M 'I 4/m m m'
_symmetry_Int_Tables_number 139
_symmetry_space_group_name_Hall '-I 4 2'
_cell_length_a 4.3448
_cell_length_b 4.3448
_cell_length_c 9.0474
_cell_angle_alpha 90.00
_cell_angle_beta 90.00
_cell_angle_gamma 90.00
loop_
_atom_site_label
_atom_site_type_symbol
_atom_site_fract_x
_atom_site_fract_y
_atom_site_fract_z
Tl1 Tl 0.0000 0.5000 0.2500
Hg1 Hg 0.0000 0.0000 0.0000
Ru1 Ru 0.0000 0.0000 0.5000



> The lowest D(E_F) belongs to which entry?

number 10



> Which value of ΔE_f does entry 3 give?

0.59 eV per atom



> What is the formula in the ninth record?

Tl2HgRu